VASP calculation (PBE-GGA) on an optimized crystal structure of Co2SiGe.

- Calculated total energy: -0.230 Ha/atom
- Crystal system: tetragonal
- Density: 7.8 g/cm3
- Polymorph energy (0 for the lowest one): 19.94 kJ/mol of atoms
- E_form (uncorrected): -0.184 eV per atom

```
data_Co2SiGe
_space_group_name_H-M_alt 'P 4/m m m'
_space_group_IT_number 123
_space_group_name_Hall '-P 4 2'
_cell_length_a 3.9286
_cell_length_b 3.9286
_cell_length_c 2.9992
_cell_angle_alpha 90.00
_cell_angle_beta 90.00
_cell_angle_gamma 90.00
loop_
_atom_site_label
_atom_site_type_symbol
_atom_site_fract_x
_atom_site_fract_y
_atom_site_fract_z
_atom_site_occupancy
Co1 Co 0.0000 0.5000 0.0000 1
Si1 Si 0.0000 0.0000 0.5000 1
Ge1 Ge 0.5000 0.5000 0.5000 1
```